ZnCuBiW | OQMD via LeMat-Bulk | GGA-PBE | optimized geometry; polymorph energy (0 for the lowest one) = 108 meV per atom; raw total energy = -4.52 eV per atom; symmetry = F-43m, No. 216
1.0
0.000 3.341 3.341
3.341 0.000 3.341
3.341 3.341 0.000
Cu Bi Zn W
1 1 1 1
direct
0.750 0.750 0.750 Cu
0.000 0.000 0.000 Bi
0.250 0.250 0.250 Zn
0.500 0.500 0.500 W

---

YZrCuBi | OQMD via LeMat-Bulk | GGA-PBE | optimized geometry; polymorph energy (0 for the lowest one) = 0 meV per atom; raw total energy = -5.85 eV per atom; symmetry = F-43m, No. 216
1.0
0.000 3.569 3.569
3.569 0.000 3.569
3.569 3.569 0.000
Cu Y Zr Bi
1 1 1 1
direct
0.500 0.500 0.500 Cu
0.750 0.750 0.750 Y
0.250 0.250 0.250 Zr
0.000 0.000 0.000 Bi

---

YZrCuBi | OQMD via LeMat-Bulk | GGA-PBE | optimized geometry; polymorph energy (0 for the lowest one) = 420 meV per atom; raw total energy = -5.43 eV per atom; symmetry = F-43m, No. 216
1.0
0.000 3.616 3.616
3.616 0.000 3.616
3.616 3.616 0.000
Y Zr Bi Cu
1 1 1 1
direct
0.500 0.500 0.500 Y
0.250 0.250 0.250 Zr
0.000 0.000 0.000 Bi
0.750 0.750 0.750 Cu